# 1
VASP calculation (PBE) on a relaxed HfBi2 crystal.

a = 6.2798 Å, b = 6.2798 Å, c = 6.2798 Å
α = 60.00°, β = 60.00°, γ = 60.00°
Sites, in units of the cell vectors:
Bi (0.1250, 0.6250, 0.6250)
Bi (0.6250, 0.6250, 0.1250)
Bi (0.6250, 0.1250, 0.6250)
Bi (0.6250, 0.6250, 0.6250)
Hf (0.0000, 0.0000, 0.0000)
Hf (0.2500, 0.2500, 0.2500)

Properties
Space group: Fd-3m, No. 227
Total energy (eV per cell): -31.90

# 2
VASP calculation (PBE) on a relaxed ZrCuRe2 crystal.

a = 4.4683 Å, b = 4.4683 Å, c = 4.4683 Å
α = 60.00°, β = 60.00°, γ = 60.00°
Sites, in units of the cell vectors:
Zr (0.5000, 0.5000, 0.5000)
Cu (0.2500, 0.2500, 0.2500)
Re (0.0000, 0.0000, 0.0000)
Re (0.7500, 0.7500, 0.7500)

Properties
Space group: F-43m, No. 216
Formation energy from the elements (eV/atom): 0.1032

# 3
VASP calculation (PBE) on a relaxed GdTeAs crystal.

a = 5.0550 Å, b = 5.0550 Å, c = 5.0550 Å
α = 60.00°, β = 60.00°, γ = 60.00°
Sites, in units of the cell vectors:
As (0.2500, 0.2500, 0.2500)
Te (0.7500, 0.7500, 0.7500)
Gd (0.0000, 0.0000, 0.0000)

Properties
Space group: F-43m, No. 216
Total energy (eV per cell): -14.32

# 4
VASP calculation (PBE) on a relaxed LaDyAg2Pb2 crystal.

a = 4.8750 Å, b = 4.8750 Å, c = 7.6448 Å
α = 90.00°, β = 90.00°, γ = 120.00°
Sites, in units of the cell vectors:
Pb (0.3333, 0.6667, 0.2625)
Ag (0.3333, 0.6667, 0.6999)
Dy (0.0000, 0.0000, 0.9896)
Pb (0.6667, 0.3333, 0.7758)
Ag (0.6667, 0.3333, 0.1706)
La (0.0000, 0.0000, 0.4876)

Properties
Space group: P3m1, No. 156
Total energy (eV per cell): -25.33

# 5
VASP calculation (PBE) on a relaxed PtPb2 crystal.

a = 6.0869 Å, b = 6.0869 Å, c = 6.0869 Å
α = 60.00°, β = 60.00°, γ = 60.00°
Sites, in units of the cell vectors:
Pb (0.1250, 0.6250, 0.6250)
Pb (0.6250, 0.6250, 0.1250)
Pb (0.6250, 0.1250, 0.6250)
Pt (0.0000, 0.0000, 0.0000)
Pt (0.2500, 0.2500, 0.2500)
Pb (0.6250, 0.6250, 0.6250)

Properties
Space group: Fd-3m, No. 227
Total energy (eV per cell): -22.49

# 6
VASP calculation (PBE) on a relaxed MgZnSO crystal.

a = 3.7728 Å, b = 3.7728 Å, c = 8.8355 Å
α = 90.00°, β = 90.00°, γ = 90.00°
Sites, in units of the cell vectors:
Zn (0.7500, 0.7500, 0.1238)
Mg (0.7500, 0.7500, 0.5515)
O (0.2500, 0.7500, 0.5000)
O (0.7500, 0.2500, 0.5000)
S (0.2500, 0.2500, 0.1456)
Mg (0.2500, 0.2500, 0.4485)
S (0.7500, 0.7500, 0.8544)
Zn (0.2500, 0.2500, 0.8762)

Properties
Space group: P4/nmm, No. 129
E above lowest polymorph (meV per atom): 298.7

# 7
VASP calculation (PBE) on a relaxed Sc2Ni3W4N3 crystal.

a = 5.2634 Å, b = 5.2634 Å, c = 13.1047 Å
α = 101.22°, β = 101.22°, γ = 60.31°
Sites, in units of the cell vectors:
Ni (0.0620, 0.9380, 0.7500)
Sc (0.6224, 0.4619, 0.8796)
N (0.3519, 0.7970, 0.0003)
W (0.0339, 0.1864, 0.0844)
Sc (0.5381, 0.3776, 0.6204)
Sc (0.4619, 0.6224, 0.3796)
W (0.1864, 0.0339, 0.5844)
W (0.1338, 0.3058, 0.4157)
N (0.6481, 0.2030, 0.9997)
W (0.3058, 0.1338, 0.9157)
Sc (0.3776, 0.5381, 0.1204)
N (0.2030, 0.6481, 0.4997)
N (0.0000, 0.5000, 0.0000)
W (0.6942, 0.8662, 0.0843)
N (0.7970, 0.3519, 0.5003)
Ni (0.1052, 0.4175, 0.7506)
W (0.8135, 0.9661, 0.4156)
W (0.8662, 0.6942, 0.5843)
Ni (0.5825, 0.8948, 0.7494)
W (0.9661, 0.8136, 0.9156)
Ni (0.4175, 0.1052, 0.2506)
Ni (0.8948, 0.5825, 0.2494)
Ni (0.9380, 0.0620, 0.2500)
N (0.5000, 0.0000, 0.5000)

Properties
Space group: C2/c, No. 15
Total energy (eV per cell): -222.42

# 8
VASP calculation (PBE) on a relaxed Cu5Sn crystal.

a = 4.8912 Å, b = 4.8912 Å, c = 4.8912 Å
α = 60.00°, β = 60.00°, γ = 60.00°
Sites, in units of the cell vectors:
Cu (0.3756, 0.3756, 0.8733)
Cu (0.7500, 0.7500, 0.7500)
Cu (0.3756, 0.8733, 0.3756)
Cu (0.3756, 0.3756, 0.3756)
Sn (0.0000, 0.0000, 0.0000)
Cu (0.8733, 0.3756, 0.3756)

Properties
Space group: F-43m, No. 216
Total energy (eV per cell): -22.22

# 9
VASP calculation (PBE) on a relaxed ZrInAgSeS2 crystal.

a = 7.7849 Å, b = 7.7849 Å, c = 10.5489 Å
α = 90.00°, β = 90.00°, γ = 152.19°
Sites, in units of the cell vectors:
S (0.6162, 0.3838, 0.9714)
Se (0.9572, 0.0428, 0.7500)
Zr (0.0000, 0.0000, 0.0000)
S (0.3838, 0.6162, 0.0286)
Ag (0.3265, 0.6735, 0.2500)
S (0.3838, 0.6162, 0.4714)
In (0.6801, 0.3199, 0.2500)
Se (0.0428, 0.9572, 0.2500)
Ag (0.6735, 0.3265, 0.7500)
Zr (0.0000, 0.0000, 0.5000)
S (0.6162, 0.3838, 0.5286)
In (0.3199, 0.6801, 0.7500)

Properties
Space group: Cmcm, No. 63
Total energy (eV per cell): -61.55

# 10
VASP calculation (PBE) on a relaxed Gd2Ni2Cl crystal.

a = 3.9571 Å, b = 3.9571 Å, c = 7.9431 Å
α = 90.00°, β = 90.00°, γ = 120.00°
Sites, in units of the cell vectors:
Ni (0.0000, 0.0000, 0.5000)
Ni (0.3333, 0.6667, 0.5000)
Gd (0.6667, 0.3333, 0.2765)
Gd (0.6667, 0.3333, 0.7235)
Cl (0.3333, 0.6667, 0.0000)

Properties
Space group: P-6m2, No. 187
Total energy (eV per cell): -26.64

# 11
VASP calculation (PBE) on a relaxed LiAlNi2 crystal.

a = 4.0464 Å, b = 4.0464 Å, c = 7.1853 Å
α = 90.00°, β = 90.00°, γ = 120.00°
Sites, in units of the cell vectors:
Ni (0.6667, 0.3333, 0.4188)
Ni (0.3333, 0.6667, 0.9188)
Al (0.0000, 0.0000, 0.5000)
Al (0.0000, 0.0000, 0.0000)
Ni (0.3333, 0.6667, 0.5812)
Li (0.6667, 0.3333, 0.7500)
Li (0.3333, 0.6667, 0.2500)
Ni (0.6667, 0.3333, 0.0812)

Properties
Space group: P6_3/mmc, No. 194
Total energy (eV per cell): -35.37

# 12
VASP calculation (PBE) on a relaxed Nb2Co2SnGe crystal.

a = 9.8289 Å, b = 4.0660 Å, c = 9.9547 Å
α = 90.00°, β = 106.08°, γ = 90.00°
Last column: magnetic moment on the atom in μB.
Sites, in units of the cell vectors:
Ge (0.4949, 0.0000, 0.1044)  0.00
Nb (0.0727, 0.5000, 0.3029)  0.00
Co (0.7554, 0.0000, 0.6204)  0.44
Ge (0.2715, 0.0000, 0.3226)  0.00
Nb (0.5611, 0.0000, 0.3954)  -0.03
Nb (0.3362, 0.5000, 0.1751)  0.01
Sn (0.5650, 0.5000, 0.6477)  0.01
Sn (0.3280, 0.5000, 0.8181)  0.00
Co (0.0112, 0.0000, 0.3996)  -0.04
Nb (0.7962, 0.0000, 0.2030)  0.21
Co (0.5989, 0.5000, 0.2350)  0.15
Nb (0.6279, 0.5000, 0.9883)  -0.01
Co (0.3381, 0.5000, 0.4516)  -0.01
Ge (0.7683, 0.0000, 0.8924)  0.00
Ge (0.1075, 0.5000, 0.9482)  0.00
Co (0.8835, 0.5000, 0.0281)  0.09
Co (0.2510, 0.0000, 0.9573)  0.15
Nb (0.3133, 0.0000, 0.6011)  0.01
Co (0.5045, 0.0000, 0.8575)  0.10
Co (0.1342, 0.5000, 0.5717)  -0.04
Sn (0.8227, 0.5000, 0.4452)  0.00
Nb (0.8636, 0.5000, 0.7519)  0.02
Nb (0.0469, 0.0000, 0.0964)  0.01
Sn (0.0476, 0.0000, 0.6860)  0.00

Properties
Space group: Pm, No. 6
Total energy (eV per cell): -175.59